Crystalline Pm2ErMg3 at its relaxed geometry, computed with GGA-PBE.

Unit cell a=3.8232 b=3.8232 c=11.5231 alpha=90.00 beta=90.00 gamma=90.00
Space group P4/mmm (No. 123)
Symmetry-distinct sites (fractional):
Pm 0.0000 0.0000 0.1706
Er 0.0000 0.0000 0.5000
Mg 0.5000 0.5000 0.0000
Mg 0.5000 0.5000 0.3410

Values from the calculation:
**Magnetic moment**: 0.00 μB per formula unit
**Formation energy**: -0.09 eV per atom
**Electronic total energy**: -3.233 eV/atom